OsRhPb2 | GGA-PBEsol | optimized geometry

Cell: 3.2299 3.2299 8.5023 Å, 79.05 79.05 60.00°
Positions (direct):
Rh1 0.5000 0.5000 0.5000
Pb1 0.7512 0.7512 0.7464
Pb2 0.2488 0.2488 0.2536
Os1 0.0000 0.0000 0.0000

Calculated values
Its crystal system is trigonal. The formation energy from the elements is 0.64 eV per atom. Its excess energy over the best structure of this formula in the dataset is 0.034 eV per atom.